Here is an optimized crystal structure of LaPaRuAu from the Alexandria database. Energies are from PBE.

a b c (Å): 7.167 7.167 7.167
angles (deg): 90.00 90.00 90.00
Space group F-43m (No. 216)
Symmetry-distinct sites (fractional):
La 0.000 0.000 0.000 (multiplicity 4)
Pa 0.000 0.000 0.500 (multiplicity 4)
Ru 0.250 0.250 0.750 (multiplicity 4)
Au 0.250 0.250 0.250 (multiplicity 4)

Results
**Crystal system**: cubic
**Calculated total energy**: -6.99 eV per atom
**E_form**: -0.25 eV per atom